Version one
## FeCo2Ir (PBE-GGA)

Data for a geometry-optimized FeCo2Ir structure.

Structure (POSCAR):
```
FeCo2Ir
1.0
-2.8108 3.2652 -1.0998
-3.8609 -1.7485 -1.3446
2.4669 -0.6941 3.6338
Fe Co Ir
1 2 1
direct
0.5000 0.5000 0.0000
0.2500 0.7500 0.5000
0.0000 0.0000 0.0000
0.7500 0.2500 0.5000
```

Properties
- DOS(E_F) (states/eV per cell) = 7.094
- calculated volume (Å³/cell) = 47.8
- size of the total moment (μB/atom) = 1.253

Version two
## FeCo2Ir (PBE-GGA)

Data for a geometry-optimized FeCo2Ir structure.

Structure (POSCAR):
```
FeCo2Ir
1.0
-0.1842 -4.4351 -7.1009
-1.6531 -6.0114 -5.5908
-2.7609 -3.9745 -6.8343
Co Fe Ir
2 1 1
direct
0.9962 0.9962 0.9962
0.5038 0.5038 0.5038
0.2500 0.2500 0.2500
0.7500 0.7500 0.7500
```

Properties
- DOS(E_F) (states/eV per cell) = 6.558
- calculated volume (Å³/cell) = 49.4
- size of the total moment (μB/atom) = 1.489

Energies relative to the most stable structure are version one 0.000; version two 0.058, reported in eV/atom.

Version one
## Fe2CoIr2 (PBE-GGA)

Data for a geometry-optimized Fe2CoIr2 structure.

Structure (POSCAR):
```
Fe2CoIr2
1.0
7.0250 0.0000 0.0000
0.0000 7.0250 0.0000
0.0000 0.0000 2.6658
Ir Fe Co
4 4 2
direct
0.8230 0.3230 0.5000
0.6770 0.8230 0.5000
0.1770 0.6770 0.5000
0.3230 0.1770 0.5000
0.8819 0.6181 0.0000
0.1181 0.3819 0.0000
0.6181 0.1181 0.0000
0.3819 0.8819 0.0000
0.5000 0.5000 0.0000
0.0000 0.0000 0.0000
```

Properties
- DOS(E_F) (states/eV per cell) = 12.496
- calculated volume (Å³/cell) = 131.6
- size of the total moment (μB/atom) = 0.918

Version two
## Fe2CoIr2 (PBE-GGA)

Data for a geometry-optimized Fe2CoIr2 structure.

Structure (POSCAR):
```
Fe2CoIr2
1.0
0.4853 -4.9681 -2.8622
2.5815 -3.5516 -3.7191
3.6789 -5.2089 0.3895
Fe Ir Co
2 2 1
direct
0.7949 0.7949 0.6033
0.2051 0.2051 0.3967
0.4051 0.4052 0.7991
0.5949 0.5948 0.2009
0.0000 0.0000 0.0000
```

Properties
- DOS(E_F) (states/eV per cell) = 6.003
- calculated volume (Å³/cell) = 64.0
- size of the total moment (μB/atom) = 1.242

Energies relative to the most stable structure are version one 0.254; version two 0.000, reported in eV/atom.

Version one
## Fe2Co2Ir (PBE-GGA)

Data for a geometry-optimized Fe2Co2Ir structure.

Structure (POSCAR):
```
Fe2Co2Ir
1.0
6.6383 0.0000 0.0000
0.0000 6.6383 0.0000
0.0000 0.0000 2.5900
Co Fe Ir
4 4 2
direct
0.6759 0.8241 0.5000
0.3241 0.1759 0.5000
0.1759 0.6759 0.5000
0.8241 0.3241 0.5000
0.6193 0.1193 0.0000
0.3807 0.8807 0.0000
0.1193 0.3807 0.0000
0.8807 0.6193 0.0000
0.0000 0.0000 0.0000
0.5000 0.5000 0.0000
```

Properties
- DOS(E_F) (states/eV per cell) = 30.239
- calculated volume (Å³/cell) = 114.1
- size of the total moment (μB/atom) = 0.043

Version two
## Fe2Co2Ir (PBE-GGA)

Data for a geometry-optimized Fe2Co2Ir structure.

Structure (POSCAR):
```
Fe2Co2Ir
1.0
-2.6374 -2.4358 -5.5907
5.8449 -2.7470 -1.5606
-0.6730 -2.1428 1.2511
Fe Co Ir
4 4 2
direct
0.8251 0.3251 0.5000
0.6749 0.8251 0.5000
0.3251 0.1749 0.5000
0.1749 0.6749 0.5000
0.1219 0.3781 0.0000
0.8781 0.6219 0.0000
0.6219 0.1219 0.0000
0.3781 0.8781 0.0000
0.0000 0.0000 0.0000
0.5000 0.5000 0.0000
```

Properties
- DOS(E_F) (states/eV per cell) = 24.042
- calculated volume (Å³/cell) = 113.5
- size of the total moment (μB/atom) = 0.000

Version three
## Fe2Co2Ir (PBE-GGA)

Data for a geometry-optimized Fe2Co2Ir structure.

Structure (POSCAR):
```
Fe2Co2Ir
1.0
3.8677 0.0000 -1.3968
-0.5116 3.8256 -1.4165
-0.4646 -0.5063 4.7667
Fe Ir Co
2 1 2
direct
0.7501 0.2501 0.5002
0.2499 0.7499 0.4998
0.0000 0.0000 0.0000
0.6336 0.6336 0.2671
0.3664 0.3664 0.7329
```

Properties
- DOS(E_F) (states/eV per cell) = 6.483
- calculated volume (Å³/cell) = 64.9
- size of the total moment (μB/atom) = 1.557

Energies relative to the most stable structure are version one 0.039; version two 0.000; version three 0.276, reported in eV/atom.

Version one
## FeCoIr4 (PBE-GGA)

Data for a geometry-optimized FeCoIr4 structure.

Structure (POSCAR):
```
FeCoIr4
1.0
3.7772 0.0000 0.0000
-1.8886 5.6015 0.0000
0.0000 0.0000 7.6370
Ir Fe Co
8 2 2
direct
0.0034 0.0068 0.8029
0.1718 0.3435 0.5533
0.4958 0.9916 0.5524
0.3290 0.6580 0.8059
0.8282 0.6565 0.0533
0.6710 0.3420 0.3059
0.5042 0.0084 0.0524
0.9966 0.9932 0.3029
0.8334 0.6667 0.5524
0.1666 0.3333 0.0524
0.3340 0.6681 0.2997
0.6660 0.3319 0.7997
```

Properties
- DOS(E_F) (states/eV per cell) = 14.037
- calculated volume (Å³/cell) = 161.6
- size of the total moment (μB/atom) = 0.420

Version two
## FeCoIr4 (PBE-GGA)

Data for a geometry-optimized FeCoIr4 structure.

Structure (POSCAR):
```
FeCoIr4
1.0
4.0454 -3.1376 0.0519
-0.6809 -5.0463 0.5334
0.8616 -3.1318 -3.9576
Ir Fe Co
4 1 1
direct
0.8748 0.3751 0.3751
0.3751 0.3751 0.3751
0.3751 0.3751 0.8748
0.3751 0.8748 0.3751
0.0000 0.0000 0.0000
0.7500 0.7500 0.7500
```

Properties
- DOS(E_F) (states/eV per cell) = 9.295
- calculated volume (Å³/cell) = 94.9
- size of the total moment (μB/atom) = 1.374

Energies relative to the most stable structure are version one 0.000; version two 0.581, reported in eV/atom.